Material: KPaNi
Method: DFT, PBE
State: optimized geometry

Output
total DFT energy (no corrections): -12.936 eV per formula unit
total magnetization: 1.827 μB/f.u.
V: 79 Å³/f.u.
mass density: 6.9 g cm⁻³
E above lowest polymorph: 0 meV/atom

a = 6.800 Å, b = 6.800 Å, c = 6.800 Å
α = 90.00°, β = 90.00°, γ = 90.00°
Space group F-43m (No. 216)
Asymmetric unit:
K (0.000, 0.000, 0.000) (multiplicity 4)
Pa (0.000, 0.000, 0.500) (multiplicity 4)
Ni (0.250, 0.250, 0.750) (multiplicity 4)